VASP calculation (PBE) on TmMg6Sc2 after structural relaxation.

Lattice parameters (Å, degrees): 5.985 5.985 14.584 90.00 90.00 90.00
Space group I-42m (No. 121)
Inequivalent atoms, fractional coordinates:
Tm (0.000, 0.000, 0.000) (multiplicity 2)
Mg (0.000, 0.500, 0.250) (multiplicity 4)
Mg (0.169, 0.169, 0.597) (multiplicity 8)
Sc (0.000, 0.000, 0.209) (multiplicity 4)

Summary:
DFT formation energy: 0.45 eV per atom
Spin magnetization: 0.39 μB per cell
Energy relative to the lowest polymorph listed for this composition: 0.473 eV per atom
Total DFT energy (no corrections): -2.518 eV/atom